Record 1
Fe2Hg (PBE, optimized geometry); SG = Fd-3m
1.0
0.000 5.859 5.859
5.859 0.000 5.859
5.859 5.859 0.000
Fe Hg
4 2
Direct
0.000 0.000 0.000 Fe
0.000 0.000 0.500 Fe
0.000 0.500 0.000 Fe
0.500 0.000 0.000 Fe
0.125 0.125 0.125 Hg
0.875 0.875 0.875 Hg

Record 2
FeHg2 (PBE, optimized geometry); SG = Fd-3m
1.0
0.000 6.049 6.049
6.049 0.000 6.049
6.049 6.049 0.000
Fe Hg
2 4
Direct
0.125 0.125 0.125 Fe
0.875 0.875 0.875 Fe
0.000 0.000 0.000 Hg
0.000 0.000 0.500 Hg
0.000 0.500 0.000 Hg
0.500 0.000 0.000 Hg

Number 1: calculated formation energy 2383 meV/atom, final energy -3.26 eV per atom. Number 2: calculated formation energy 967 meV/atom, final energy -2.00 eV per atom.